Record 1
## Zr3IrSe (PBE)

Data for a relaxed structure of Zr3IrSe.

extended XYZ file:
```
10
Lattice="1.031 4.316 -4.662 -4.123 -2.640 4.178 2.526 6.579 6.648" Properties=species:S:1:pos:R:3 pbc="T T T"
Ir -2.230 0.707 3.677
Zr -0.061 5.219 5.448
Se -0.283 4.127 3.082
Zr -0.977 4.533 8.922
Zr 1.287 6.003 -0.452
Zr -1.853 2.252 6.616
Se -1.546 0.838 -0.242
Zr 0.411 3.722 -2.757
Ir 1.665 7.548 2.487
Zr -0.504 3.036 0.717
```

Calculated values
**Final energy**: -8.45 eV/atom

=====

Record 2
## DyCuSnTe2Se (PBE)

Data for a relaxed structure of DyCuSnTe2Se.

extended XYZ file:
```
12
Lattice="6.059 4.370 0.699 -7.452 -0.415 -0.765 -1.065 -0.201 10.487" Properties=species:S:1:pos:R:3 pbc="T T T"
Te 3.055 3.471 10.291
Se -1.986 1.565 2.478
Dy -0.697 1.977 -0.033
Dy -1.229 1.877 5.211
Se -0.473 2.189 7.943
Te -5.908 0.209 4.018
Sn 2.506 3.156 2.965
Te 3.450 3.545 6.404
Te -5.514 0.283 0.131
Cu 4.940 4.106 8.530
Sn -4.965 0.599 7.457
Cu -7.398 -0.351 1.892
```

Calculated values
**Final energy**: -4.43 eV/atom

=====

Record 3
## CsDyTl (PBE)

Data for a relaxed structure of CsDyTl.

extended XYZ file:
```
3
Lattice="2.817 1.626 4.600 -2.817 1.626 4.600 0.000 -3.253 4.600" Properties=species:S:1:pos:R:3 pbc="T T T"
Cs 0.000 0.000 0.000
Tl 0.000 0.000 3.450
Dy 0.000 0.000 10.350
```

Calculated values
**Final energy**: -1.69 eV/atom
**Energy above the most stable polymorph in this dataset**: 397 meV per atom

=====

Record 4
## Pm2AsSe (PBE)

Data for a relaxed structure of Pm2AsSe.

extended XYZ file:
```
4
Lattice="-0.500 -3.812 1.721 1.330 -1.788 -3.574 5.601 0.169 2.000" Properties=species:S:1:pos:R:3 pbc="T T T"
As 0.000 0.000 0.000
Pm 0.415 -2.800 -0.926
Pm 2.801 0.084 1.000
Se 3.216 -2.716 0.074
```

Calculated values
**Final energy**: -6.14 eV/atom
**Energy above the most stable polymorph in this dataset**: 6 meV per atom

=====

Record 5
## NaSmW (PBE)

Data for a relaxed structure of NaSmW.

extended XYZ file:
```
3
Lattice="0.000 3.512 3.512 3.512 0.000 3.512 3.512 3.512 0.000" Properties=species:S:1:pos:R:3 pbc="T T T"
Sm 5.269 5.269 5.269
W 0.000 0.000 0.000
Na 1.756 1.756 1.756
```

Calculated values
**Final energy**: -4.69 eV/atom
**Energy above the most stable polymorph in this dataset**: 0 meV per atom

=====

Record 6
## La3OsO7 (PBE)

Data for a relaxed structure of La3OsO7.

extended XYZ file:
```
22
Lattice="-1.241 6.377 1.687 2.742 4.375 -4.289 -6.359 -0.128 -4.195" Properties=species:S:1:pos:R:3 pbc="T T T"
O 1.552 3.397 -3.040
La -4.353 8.640 -4.044
O -4.143 4.597 -1.364
La -5.185 2.675 -2.601
O -3.701 6.616 -4.970
La 0.326 7.950 -4.196
O -2.358 4.445 -6.941
O -4.091 3.821 -4.294
O -6.786 4.544 -3.107
O -0.716 6.028 -5.433
O 1.927 6.081 -3.690
Os 0.000 0.000 0.000
La 0.750 5.376 -1.301
La -0.506 1.985 -2.753
O -2.501 6.179 0.143
O -6.411 7.228 -3.757
O -1.091 3.343 -4.784
La -2.429 5.312 -3.399
O -0.768 6.804 -2.503
Os -3.180 -0.064 -2.098
O -1.158 4.009 -1.827
O -3.768 7.281 -2.013
```

Calculated values
**Final energy**: -8.24 eV/atom

=====

Record 7
## RbSmCoS3 (PBE)

Data for a relaxed structure of RbSmCoS3.

extended XYZ file:
```
24
Lattice="10.704 0.000 0.000 0.000 4.007 0.000 0.000 0.000 14.740" Properties=species:S:1:pos:R:3 pbc="T T T"
Rb 7.935 1.002 14.589
Co 8.100 1.002 10.554
S 0.889 1.002 12.836
S 6.241 1.002 9.273
Rb 2.583 1.002 7.520
S 7.967 1.002 4.485
Co 7.956 3.005 3.185
S 9.984 1.002 9.308
Co 2.748 1.002 11.555
S 4.463 3.005 5.466
Sm 5.420 3.005 11.025
Sm 10.636 1.002 3.655
S 9.815 3.005 1.904
Rb 8.120 3.005 7.220
S 8.089 3.005 11.854
S 2.737 3.005 10.255
S 6.072 3.005 1.938
Rb 2.769 3.005 0.150
Sm 0.068 3.005 11.084
S 4.632 1.002 12.802
S 2.615 1.002 2.885
S 0.720 3.005 5.432
Sm 5.284 1.002 3.714
Co 2.604 3.005 4.185
```

Calculated values
**Final energy**: -5.46 eV/atom

=====

Record 8
## La2ZnSnAu4 (PBE)

Data for a relaxed structure of La2ZnSnAu4.

extended XYZ file:
```
8
Lattice="4.771 0.000 0.000 -2.386 4.132 0.000 0.000 0.000 9.584" Properties=species:S:1:pos:R:3 pbc="T T T"
La 0.000 2.755 2.413
Sn 0.000 0.000 0.000
Au 0.000 2.755 8.577
Au 2.386 1.377 4.061
La 2.386 1.377 7.171
Zn 0.000 0.000 4.792
Au 2.386 1.377 1.006
Au 0.000 2.755 5.522
```

Calculated values
**Final energy**: -4.22 eV/atom